No. 1
LiAcCuPt2: relaxed, GGA-PBE.

Cell: 4.146 4.146 11.612 Å, 90.00 90.00 90.00°
Space group I-4m2 (No. 119)
Asymmetric unit:
Li 0.000 0.000 0.000 [2 per cell]
Ac 0.000 0.500 0.750 [2 per cell]
Cu 0.000 0.000 0.500 [2 per cell]
Pt 0.000 0.500 0.134 [4 per cell]

ΔE_f   -3.5 eV/f.u.
DOS(E_F)   4.37 states/eV per cell
DFT total energy   -5.135 eV/atom

No. 2
HoCdS: relaxed, GGA-PBE.

Cell: 3.720 3.720 9.894 Å, 90.00 90.00 90.00°
Space group P4/nmm (No. 129, origin choice 2)
Asymmetric unit:
Ho 0.250 0.250 0.182 [2 per cell]
Cd 0.250 0.250 0.572 [2 per cell]
S 0.250 0.250 0.895 [2 per cell]

Formation energy from raw total energies   -1.150 eV per atom
DOS(E_F)   3.01 states/eV per cell
DFT total energy   -4.357 eV/atom

No. 3
KMgInHg2: relaxed, GGA-PBE.

Cell: 5.562 5.562 5.562 Å, 90.00 90.00 90.00°
Space group P4/mmm (No. 123)
Asymmetric unit:
K 0.000 0.000 0.000 [1 per cell]
Mg 0.500 0.500 0.500 [1 per cell]
In 0.500 0.500 0.000 [1 per cell]
Hg 0.000 0.500 0.500 [2 per cell]

ΔE_f   -0.1 eV/f.u.
DOS(E_F)   1.62 states/eV per cell
DFT total energy   -1.234 eV/atom

No. 4
LiCaPS4: relaxed, GGA-PBE.

Cell: 7.242 8.304 10.044 Å, 90.00 90.00 90.00°
Space group Imma (No. 74)
Asymmetric unit:
Li 0.250 0.250 0.250 [4 per cell]
Ca 0.000 0.000 0.000 [4 per cell]
P 0.000 0.250 0.614 [4 per cell]
S 0.000 0.041 0.718 [8 per cell]
S 0.239 0.250 0.490 [8 per cell]

Formation energy from raw total energies   -0.848 eV per atom
DOS(E_F)   0.06 states/eV per cell
DFT total energy   -4.539 eV/atom

No. 5
Cr2SeS: relaxed, GGA-PBE.

Cell: 6.051 6.051 6.051 Å, 90.00 90.00 90.00°
Space group Fm-3m (No. 225)
Asymmetric unit:
Cr 0.250 0.250 0.250 [8 per cell]
Se 0.000 0.000 0.000 [4 per cell]
S 0.000 0.000 0.500 [4 per cell]

Formation energy from raw total energies   0.054 eV per atom
DOS(E_F)   12.41 states/eV per cell
DFT total energy   -6.661 eV/atom

No. 6
Pm2Er4Se9: relaxed, GGA-PBE.

Cell: 7.2324 7.2324 19.4810 Å, 90.00 90.00 120.00°
Space group P-3c1 (No. 165)
Asymmetric unit:
Pm 0.0000 0.0000 0.1491 [4 per cell]
Er 0.3333 0.6667 0.1817 [4 per cell]
Er 0.3333 0.6667 0.4871 [4 per cell]
Se 0.0000 0.3115 0.2500 [6 per cell]
Se 0.0258 0.3732 0.5836 [12 per cell]

Formation energy from raw total energies   -1.842 eV per atom
DOS(E_F)   0.00 states/eV per cell
DFT total energy   -5.783 eV/atom

No. 7
KTaTc2: relaxed, GGA-PBE.

Cell: 3.195 4.731 10.098 Å, 90.00 90.00 90.00°
Space group Cmmm (No. 65)
Asymmetric unit:
K 0.000 0.000 0.000 [2 per cell]
Ta 0.000 0.000 0.500 [2 per cell]
Tc 0.000 0.500 0.293 [4 per cell]

ΔE_f   2.2 eV/f.u.
DOS(E_F)   6.12 states/eV per cell
DFT total energy   -7.863 eV/atom

No. 8
Pm3USn12: relaxed, GGA-PBE.

Cell: 4.732 4.732 18.824 Å, 90.00 90.00 90.00°
Space group P4/mmm (No. 123)
Asymmetric unit:
Pm 0.000 0.000 0.000 [1 per cell]
Pm 0.000 0.000 0.256 [2 per cell]
U 0.000 0.000 0.500 [1 per cell]
Sn 0.000 0.500 0.127 [4 per cell]
Sn 0.000 0.500 0.380 [4 per cell]
Sn 0.500 0.500 0.000 [1 per cell]
Sn 0.500 0.500 0.252 [2 per cell]
Sn 0.500 0.500 0.500 [1 per cell]

ΔE_f   -6.4 eV/f.u.
DOS(E_F)   12.91 states/eV per cell
DFT total energy   -5.001 eV/atom

No. 9
ScTeRu2: relaxed, GGA-PBE.

Cell: 6.549 6.549 6.549 Å, 90.00 90.00 90.00°
Space group F-43m (No. 216)
Asymmetric unit:
Sc 0.000 0.000 0.000 [4 per cell]
Te 0.250 0.250 0.250 [4 per cell]
Ru 0.000 0.000 0.500 [4 per cell]
Ru 0.250 0.250 0.750 [4 per cell]

Formation energy from raw total energies   0.125 eV per atom
DOS(E_F)   28.98 states/eV per cell
DFT total energy   -6.881 eV/atom

No. 10
TiHgS2N: relaxed, GGA-PBE.

Cell: 4.891 4.891 3.854 Å, 90.00 90.00 90.00°
Space group P4/mmm (No. 123)
Asymmetric unit:
Ti 0.000 0.000 0.000 [1 per cell]
Hg 0.500 0.500 0.500 [1 per cell]
S 0.000 0.500 0.000 [2 per cell]
N 0.000 0.000 0.500 [1 per cell]

Formation energy from raw total energies   -0.038 eV per atom
DOS(E_F)   2.54 states/eV per cell
DFT total energy   -4.993 eV/atom

No. 11
Cr2ReN: relaxed, GGA-PBE.

Cell: 2.7976 2.7976 19.5487 Å, 90.00 90.00 120.00°
Space group R-3m (No. 166, hexagonal axes)
Asymmetric unit:
Cr 0.0000 0.0000 0.2215 [6 per cell]
Re 0.0000 0.0000 0.0000 [3 per cell]
N 0.0000 0.0000 0.5000 [3 per cell]

Formation energy from raw total energies   -0.215 eV per atom
DOS(E_F)   10.65 states/eV per cell
DFT total energy   -10.220 eV/atom

No. 12
K2In2Ag: relaxed, GGA-PBE.

Cell: 7.511 7.511 5.977 Å, 90.00 90.00 90.00°
Space group P4/mbm (No. 127)
Asymmetric unit:
K 0.181 0.319 0.000 [4 per cell]
In 0.140 0.640 0.500 [4 per cell]
Ag 0.000 0.000 0.500 [2 per cell]

ΔE_f   -0.1 eV/f.u.
DOS(E_F)   3.69 states/eV per cell
DFT total energy   -2.120 eV/atom

No. 13
Zr8Sn2Pb: relaxed, GGA-PBE.

Cell: 7.944 13.534 5.438 Å, 90.00 115.79 90.00°
Space group C2/m (No. 12)
Asymmetric unit:
Zr 0.000 0.226 0.000 [4 per cell]
Zr 0.087 0.500 0.798 [4 per cell]
Zr 0.204 0.113 0.645 [8 per cell]
Sn 0.000 0.306 0.500 [4 per cell]
Pb 0.000 0.000 0.000 [2 per cell]

ΔE_f   -1.4 eV/f.u.
DOS(E_F)   21.96 states/eV per cell
DFT total energy   -7.408 eV/atom

No. 14
LaY3S4: relaxed, GGA-PBE.

Cell: 5.638 5.638 5.638 Å, 90.00 90.00 90.00°
Space group Pm-3m (No. 221)
Asymmetric unit:
La 0.000 0.000 0.000 [1 per cell]
Y 0.000 0.500 0.500 [3 per cell]
S 0.000 0.000 0.500 [3 per cell]
S 0.500 0.500 0.500 [1 per cell]

Formation energy from raw total energies   -1.999 eV per atom
DOS(E_F)   4.98 states/eV per cell
DFT total energy   -7.103 eV/atom

No. 15
Rb3Pr3ScS8: relaxed, GGA-PBE.

Cell: 14.366 8.288 9.185 Å, 90.00 121.49 90.00°
Space group C2/m (No. 12)
Asymmetric unit:
Rb 0.000 0.000 0.000 [2 per cell]
Rb 0.250 0.250 0.000 [4 per cell]
Pr 0.000 0.500 0.500 [2 per cell]
Pr 0.250 0.250 0.500 [4 per cell]
Sc 0.000 0.000 0.500 [2 per cell]
S 0.016 0.232 0.315 [8 per cell]
S 0.216 0.000 0.685 [4 per cell]
S 0.233 0.500 0.700 [4 per cell]

Formation energy from raw total energies   -1.689 eV per atom
DOS(E_F)   30.18 states/eV per cell
DFT total energy   -5.462 eV/atom

No. 16
La2PmHo6: relaxed, GGA-PBE.

Cell: 12.919 14.279 6.611 Å, 90.00 102.42 90.00°
Space group C2/c (No. 15)
Asymmetric unit:
La 0.142 0.029 0.377 [8 per cell]
Pm 0.000 0.382 0.250 [4 per cell]
Ho 0.033 0.191 0.000 [8 per cell]
Ho 0.132 0.412 0.815 [8 per cell]
Ho 0.242 0.203 0.736 [8 per cell]

ΔE_f   1.0 eV/f.u.
DOS(E_F)   49.30 states/eV per cell
DFT total energy   -4.564 eV/atom

No. 17
Sc2CdF: relaxed, GGA-PBE.

Cell: 3.3769 3.3769 26.4267 Å, 90.00 90.00 120.00°
Space group R-3m (No. 166, hexagonal axes)
Asymmetric unit:
Sc 0.0000 0.0000 0.0767 [6 per cell]
Cd 0.0000 0.0000 0.5000 [3 per cell]
F 0.0000 0.0000 0.0000 [3 per cell]

Formation energy from raw total energies   -1.217 eV per atom
DOS(E_F)   7.08 states/eV per cell
DFT total energy   -5.079 eV/atom

No. 18
Ge2PbAuSe6: relaxed, GGA-PBE.

Cell: 13.448 13.104 6.896 Å, 90.00 107.99 90.00°
Space group C2/c (No. 15)
Asymmetric unit:
Ge 0.204 0.064 0.219 [8 per cell]
Pb 0.000 0.381 0.250 [4 per cell]
Au 0.000 0.205 0.750 [4 per cell]
Se 0.111 0.429 0.698 [8 per cell]
Se 0.132 0.079 0.499 [8 per cell]
Se 0.145 0.229 0.064 [8 per cell]

Formation energy from raw total energies   -0.197 eV per atom
DOS(E_F)   17.82 states/eV per cell
DFT total energy   -3.910 eV/atom

No. 19
Ba2AlInPb: relaxed, GGA-PBE.

Cell: 6.662 6.662 4.915 Å, 90.00 90.00 90.00°
Space group P4/mmm (No. 123)
Asymmetric unit:
Ba 0.000 0.500 0.000 [2 per cell]
Al 0.000 0.000 0.500 [1 per cell]
In 0.000 0.000 0.000 [1 per cell]
Pb 0.500 0.500 0.500 [1 per cell]

ΔE_f   0.4 eV/f.u.
DOS(E_F)   5.54 states/eV per cell
DFT total energy   -2.732 eV/atom

No. 20
K2InIrPd: relaxed, GGA-PBE.

Cell: 5.877 5.877 5.177 Å, 90.00 90.00 90.00°
Space group P4/mmm (No. 123)
Asymmetric unit:
K 0.000 0.500 0.000 [2 per cell]
In 0.000 0.000 0.500 [1 per cell]
Ir 0.500 0.500 0.500 [1 per cell]
Pd 0.000 0.000 0.000 [1 per cell]

ΔE_f   4.3 eV/f.u.
DOS(E_F)   5.18 states/eV per cell
DFT total energy   -2.935 eV/atom